Compound: NaLaCd
Source: OQMD via LeMat-Bulk
Functional: PBE
Structure: relaxed

calculated volume	105.07	Å³/cell
space-group type	F-43m
distance to the lowest polymorph of the same formula	293	meV per atom

abc: 5.297 5.297 5.297
angles: 60.00 60.00 60.00
Element x y z (fractional)
Cd 0.250 0.250 0.250
La 0.000 0.000 0.000
Na 0.750 0.750 0.750

Compound: NaLaCdSe3
Source: OQMD via LeMat-Bulk
Functional: PBE
Structure: relaxed

calculated volume	683.52	Å³/cell
space-group type	Pnma
distance to the lowest polymorph of the same formula	13	meV per atom

abc: 11.607 4.342 13.563
angles: 90.00 90.00 90.00
Element x y z (fractional)
Cd 0.259 0.250 0.220
Cd 0.759 0.250 0.280
Cd 0.241 0.750 0.720
Cd 0.741 0.750 0.780
La 0.009 0.750 0.236
La 0.509 0.750 0.264
La 0.491 0.250 0.736
La 0.991 0.250 0.764
Na 0.289 0.750 0.005
Na 0.789 0.750 0.495
Na 0.211 0.250 0.505
Na 0.711 0.250 0.995
Se 0.084 0.250 0.099
Se 0.450 0.250 0.116
Se 0.754 0.750 0.161
Se 0.254 0.750 0.339
Se 0.950 0.250 0.384
Se 0.584 0.250 0.401
Se 0.416 0.750 0.599
Se 0.050 0.750 0.616
Se 0.746 0.250 0.661
Se 0.246 0.250 0.839
Se 0.550 0.750 0.884
Se 0.916 0.750 0.901

Compound: NaLaCdSe3
Source: OQMD via LeMat-Bulk
Functional: PBE
Structure: relaxed

calculated volume	636.40	Å³/cell
space-group type	Pnma
distance to the lowest polymorph of the same formula	32	meV per atom

abc: 8.302 4.352 17.614
angles: 90.00 90.00 90.00
Element x y z (fractional)
Cd 0.581 0.250 0.160
Cd 0.081 0.250 0.340
Cd 0.919 0.750 0.660
Cd 0.419 0.750 0.840
La 0.231 0.250 0.039
La 0.731 0.250 0.461
La 0.269 0.750 0.539
La 0.769 0.750 0.961
Na 0.941 0.750 0.201
Na 0.441 0.750 0.299
Na 0.559 0.250 0.701
Na 0.059 0.250 0.799
Se 0.876 0.250 0.068
Se 0.488 0.750 0.080
Se 0.231 0.250 0.211
Se 0.731 0.250 0.289
Se 0.988 0.750 0.420
Se 0.376 0.250 0.432
Se 0.624 0.750 0.568
Se 0.012 0.250 0.580
Se 0.269 0.750 0.711
Se 0.769 0.750 0.789
Se 0.512 0.250 0.920
Se 0.124 0.750 0.932

Compound: NaLaCdSe3
Source: OQMD via LeMat-Bulk
Functional: PBE
Structure: relaxed

calculated volume	338.78	Å³/cell
space-group type	C2/m
distance to the lowest polymorph of the same formula	61	meV per atom

abc: 9.375 9.375 9.010
angles: 106.40 106.40 26.55
Element x y z (fractional)
Cd 0.513 0.513 0.216
Cd 0.487 0.487 0.784
La 0.177 0.177 0.115
La 0.823 0.823 0.885
Na 0.878 0.878 0.425
Na 0.122 0.122 0.575
Se 0.000 0.000 0.000
Se 0.341 0.341 0.129
Se 0.670 0.670 0.336
Se 0.500 0.500 0.500
Se 0.330 0.330 0.664
Se 0.659 0.659 0.871